DFT (meta-GGA SCAN) results for YPb2Se2 at its PBEsol-relaxed geometry.

Structure (POSCAR):
```
YPb2Se2
1.0
-2.034 2.034 8.303
2.034 -2.034 8.303
2.034 2.034 -8.303
Y Pb Se
1 2 2
direct
0.000 0.000 0.000
0.250 0.750 0.500
0.750 0.250 0.500
0.411 0.411 0.000
0.589 0.589 0.000
```

- Formation energy without anion corrections: -0.5778 eV per atom
- DOS at the Fermi energy: 1.76 states/eV per cell